(1)
BaAlSiAu6 | GGA-PBE | optimized geometry

ΔE_f (raw)   -1.958 eV/f.u.
Calculated volume   25.52 Å³ per atom
VASP energy   -32.71 eV/f.u.
Space-group type   Imma, No. 74
Mass density   9935 kg/m³
Spin magnetization   0.00 μB/cell

a b c (Å): 8.8177 8.8177 8.8177
angles (deg): 126.47 119.29 85.20
With the nearest neighbours (Å) after each atom.
Element x y z (fractional)
Ba (0.3922, 0.1422, 0.2500)  6 Au 3.41-3.62
Ba (0.6078, 0.8578, 0.7500)  6 Au 3.41-3.62
Al (0.0000, 0.0000, 0.5000)  6 Au 2.53-2.54
Al (0.0000, 0.5000, 0.0000)  6 Au 2.53-2.54
Si (0.0000, 0.5000, 0.5000)  6 Au 2.45-2.46
Si (0.5000, 0.5000, 0.0000)  6 Au 2.45-2.46
Au (0.1225, 0.8725, 0.2500)  2 Al 2.54
Au (0.1360, 0.4599, 0.2972)  1 Si 2.46, 1 Al 2.53
Au (0.1360, 0.8388, 0.6760)  1 Si 2.46, 1 Al 2.53
Au (0.3289, 0.5789, 0.7500)  2 Si 2.45
Au (0.3373, 0.1612, 0.7972)  1 Si 2.46, 1 Al 2.53
Au (0.3373, 0.5401, 0.1760)  1 Si 2.46, 1 Al 2.53
Au (0.6627, 0.4599, 0.8240)  1 Si 2.46, 1 Al 2.53
Au (0.6627, 0.8388, 0.2028)  1 Si 2.46, 1 Al 2.53
Au (0.6711, 0.4211, 0.2500)  2 Si 2.45
Au (0.8640, 0.1612, 0.3240)  1 Si 2.46, 1 Al 2.53
Au (0.8640, 0.5401, 0.7028)  1 Si 2.46, 1 Al 2.53
Au (0.8775, 0.1275, 0.7500)  2 Al 2.54

(2)
Ba2Al4Si3Au | GGA-PBE | optimized geometry

ΔE_f (raw)   -3.295 eV/f.u.
Calculated volume   22.28 Å³ per atom
VASP energy   -41.66 eV/f.u.
Space-group type   P-4m2, No. 115
Mass density   4947 kg/m³
Spin magnetization   0.00 μB/cell

a b c (Å): 4.6142 4.6142 10.4647
angles (deg): 90.00 90.00 90.00
With the nearest neighbours (Å) after each atom.
Element x y z (fractional)
Ba (0.0000, 0.5000, 0.2477)  6 Si 3.47-3.53, 2 Au 3.47, 9 Al 3.51-3.83
Ba (0.5000, 0.0000, 0.7523)  6 Si 3.47-3.53, 2 Au 3.47, 9 Al 3.51-3.83
Al (0.0000, 0.0000, 0.5000)  4 Si 2.64
Al (0.0000, 0.5000, 0.8813)  3 Si 2.62-2.70, 2 Au 2.62
Al (0.5000, 0.0000, 0.1187)  3 Si 2.62-2.70, 2 Au 2.62
Al (0.5000, 0.5000, 0.5000)  4 Si 2.64
Si (0.0000, 0.0000, 0.0000)  4 Al 2.62
Si (0.0000, 0.5000, 0.6236)  5 Al 2.64-2.70
Si (0.5000, 0.0000, 0.3764)  5 Al 2.64-2.70
Au (0.5000, 0.5000, 0.0000)  4 Al 2.62

(3)
Ba2AlSn4Au3 | GGA-PBE | optimized geometry

Calculated volume   26.97 Å³ per atom
Energy relative to the elements   -0.554 eV per atom
VASP energy   -38.97 eV/f.u.
Space-group type   P-4m2, No. 115
Mass density   8419 kg/m³
Spin magnetization   0.00 μB/cell

a b c (Å): 4.8044 4.8044 11.6838
angles (deg): 90.00 90.00 90.00
With the nearest neighbours (Å) after each atom.
Element x y z (fractional)
Ba (0.0000, 0.5000, 0.2455)  8 Sn 3.66-3.82, 6 Au 3.68-3.74, 2 Al 3.74
Ba (0.5000, 0.0000, 0.7545)  8 Sn 3.66-3.82, 6 Au 3.68-3.74, 2 Al 3.74
Al (0.5000, 0.5000, 0.0000)  4 Sn 2.84
Sn (0.0000, 0.0000, 0.5000)  4 Au 2.87
Sn (0.0000, 0.5000, 0.8700)  3 Au 2.76-2.84, 2 Al 2.84
Sn (0.5000, 0.0000, 0.1300)  3 Au 2.76-2.84, 2 Al 2.84
Sn (0.5000, 0.5000, 0.5000)  4 Au 2.87
Au (0.0000, 0.0000, 0.0000)  4 Sn 2.84
Au (0.0000, 0.5000, 0.6337)  5 Sn 2.76-2.87
Au (0.5000, 0.0000, 0.3663)  5 Sn 2.76-2.87

(4)
Ba2Al2SnAu6 | GGA-PBE | optimized geometry

Calculated volume   26.89 Å³ per atom
Energy relative to the elements   -0.408 eV per atom
VASP energy   -39.49 eV/f.u.
Space-group type   R-3m, No. 166
Mass density   9145 kg/m³
Spin magnetization   0.00 μB/cell

a b c (Å): 7.9910 7.9910 7.9910
angles (deg): 52.33 52.33 52.33
With the nearest neighbours (Å) after each atom.
Element x y z (fractional)
Ba (0.2374, 0.2374, 0.2374)  9 Au 3.47-3.66, 1 Al 3.48
Ba (0.7626, 0.7626, 0.7626)  9 Au 3.47-3.66, 1 Al 3.48
Al (0.0687, 0.0687, 0.0687)  3 Au 2.43
Al (0.9313, 0.9313, 0.9313)  3 Au 2.43
Sn (0.5000, 0.5000, 0.5000)  6 Au 2.89
Au (0.2491, 0.2491, 0.6572)  1 Al 2.43
Au (0.2491, 0.6572, 0.2491)  1 Al 2.43
Au (0.3428, 0.7509, 0.7509)  1 Al 2.43
Au (0.6572, 0.2491, 0.2491)  1 Al 2.43
Au (0.7509, 0.3428, 0.7509)  1 Al 2.43
Au (0.7509, 0.7509, 0.3428)  1 Al 2.43

(5)
Ba2AlSn2Au4 | GGA-PBE | optimized geometry

Calculated volume   26.86 Å³ per atom
Energy relative to the elements   -0.509 eV per atom
VASP energy   -33.28 eV/f.u.
Space-group type   I4/mmm, No. 139
Mass density   9115 kg/m³
Spin magnetization   0.00 μB/cell

a b c (Å): 6.9467 6.9467 6.9467
angles (deg): 118.62 118.62 92.40
With the nearest neighbours (Å) after each atom.
Element x y z (fractional)
Ba (0.2500, 0.7500, 0.5000)  8 Au 3.47, 4 Sn 3.62
Ba (0.7500, 0.2500, 0.5000)  8 Au 3.47, 4 Sn 3.62
Al (0.0000, 0.0000, 0.0000)  4 Au 2.58
Sn (0.3284, 0.3284, 0.0000)  4 Au 2.94, 1 Al 3.16
Sn (0.6716, 0.6716, 0.0000)  4 Au 2.94, 1 Al 3.16
Au (0.2574, 0.2574, 0.5149)  1 Al 2.58
Au (0.2574, 0.7426, 0.0000)  1 Al 2.58
Au (0.7426, 0.2574, 0.0000)  1 Al 2.58
Au (0.7426, 0.7426, 0.4851)  1 Al 2.58

(6)
Ba2Al3SnAu12 | GGA-PBE | optimized geometry

Calculated volume   23.46 Å³ per atom
Energy relative to the elements   -0.290 eV per atom
VASP energy   -63.63 eV/f.u.
Space-group type   R-3m, No. 166
Mass density   11160 kg/m³
Spin magnetization   0.00 μB/cell

a b c (Å): 10.5016 10.5016 10.5016
angles (deg): 39.53 39.53 39.53
With the nearest neighbours (Å) after each atom.
Element x y z (fractional)
Ba (0.1478, 0.1478, 0.1478)  12 Au 3.48-3.87
Ba (0.8522, 0.8522, 0.8522)  12 Au 3.48-3.87
Al (0.0000, 0.5000, 0.5000)  6 Au 2.57-2.77
Al (0.5000, 0.0000, 0.5000)  6 Au 2.57-2.77
Al (0.5000, 0.5000, 0.0000)  6 Au 2.57-2.77
Sn (0.5000, 0.5000, 0.5000)  6 Au 2.76
Au (0.0937, 0.0937, 0.6862)  2 Al 2.57, 2 Au 2.82
Au (0.0937, 0.6862, 0.0937)  2 Al 2.57, 2 Au 2.82
Au (0.1327, 0.5764, 0.5764)  1 Sn 2.76, 1 Al 2.77, 2 Au 2.82
Au (0.3138, 0.9063, 0.9063)  2 Al 2.57, 2 Au 2.82
Au (0.4236, 0.4236, 0.8673)  1 Sn 2.76, 1 Al 2.77, 2 Au 2.82
Au (0.4236, 0.8673, 0.4236)  1 Sn 2.76, 1 Al 2.77, 2 Au 2.82
Au (0.5764, 0.1327, 0.5764)  1 Sn 2.76, 1 Al 2.77, 2 Au 2.82
Au (0.5764, 0.5764, 0.1327)  1 Sn 2.76, 1 Al 2.77, 2 Au 2.82
Au (0.6862, 0.0937, 0.0937)  2 Al 2.57, 2 Au 2.82
Au (0.8673, 0.4236, 0.4236)  1 Sn 2.76, 1 Al 2.77, 2 Au 2.82
Au (0.9063, 0.3138, 0.9063)  2 Al 2.57, 2 Au 2.82
Au (0.9063, 0.9063, 0.3138)  2 Al 2.57, 2 Au 2.82

(7)
Ba2Al4SnAu3 | GGA-PBE | optimized geometry

Calculated volume   23.84 Å³ per atom
Energy relative to the elements   -0.539 eV per atom
VASP energy   -38.04 eV/f.u.
Space-group type   P-4m2, No. 115
Mass density   7607 kg/m³
Spin magnetization   0.00 μB/cell

a b c (Å): 4.6631 4.6631 10.9638
angles (deg): 90.00 90.00 90.00
With the nearest neighbours (Å) after each atom.
Element x y z (fractional)
Ba (0.0000, 0.5000, 0.2461)  8 Al 3.52-3.57, 6 Au 3.58-3.63, 2 Sn 3.63
Ba (0.5000, 0.0000, 0.7539)  8 Al 3.52-3.57, 6 Au 3.58-3.63, 2 Sn 3.63
Al (0.0000, 0.0000, 0.0000)  4 Au 2.67
Al (0.0000, 0.5000, 0.6423)  3 Au 2.63-2.81, 2 Sn 2.81
Al (0.5000, 0.0000, 0.3577)  3 Au 2.63-2.81, 2 Sn 2.81
Al (0.5000, 0.5000, 0.0000)  4 Au 2.67
Sn (0.0000, 0.0000, 0.5000)  4 Al 2.81
Au (0.0000, 0.5000, 0.8821)  5 Al 2.63-2.67
Au (0.5000, 0.0000, 0.1179)  5 Al 2.63-2.67
Au (0.5000, 0.5000, 0.5000)  4 Al 2.81

(8)
BaAl2Sn2Au6 | GGA-PBE | optimized geometry

Calculated volume   24.09 Å³ per atom
Energy relative to the elements   -0.384 eV per atom
VASP energy   -41.30 eV/f.u.
Space-group type   P-1, No. 2
Mass density   10094 kg/m³
Spin magnetization   0.00 μB/cell

a b c (Å): 6.3795 6.6891 7.0265
angles (deg): 95.90 116.53 93.43
With the nearest neighbours (Å) after each atom.
Element x y z (fractional)
Ba (0.0000, 0.0000, 0.0000)  10 Au 3.43-3.64
Al (0.1029, 0.7024, 0.5543)  5 Au 2.52-2.63, 1 Al 2.81
Al (0.8971, 0.2976, 0.4457)  5 Au 2.52-2.63, 1 Al 2.81
Sn (0.4348, 0.5648, 0.2728)  5 Au 2.82-3.07, 1 Sn 3.15
Sn (0.5652, 0.4352, 0.7272)  5 Au 2.82-3.07, 1 Sn 3.15
Au (0.0462, 0.4820, 0.8210)  2 Al 2.52-2.63
Au (0.2396, 0.0912, 0.6348)  2 Al 2.57-2.61, 1 Sn 2.82, 1 Au 2.84
Au (0.4598, 0.7850, 0.9197)  1 Al 2.53
Au (0.5402, 0.2150, 0.0803)  1 Al 2.53
Au (0.7604, 0.9088, 0.3652)  2 Al 2.57-2.61, 1 Sn 2.82, 1 Au 2.84
Au (0.9538, 0.5180, 0.1790)  2 Al 2.52-2.63

(9)
BaAlSnAu6 | GGA-PBE | optimized geometry

Calculated volume   26.56 Å³ per atom
Energy relative to the elements   -0.202 eV per atom
VASP energy   -31.15 eV/f.u.
Space-group type   Imma, No. 74
Mass density   10177 kg/m³
Spin magnetization   0.00 μB/cell

a b c (Å): 9.3746 9.3746 9.3746
angles (deg): 134.80 122.91 75.64
With the nearest neighbours (Å) after each atom.
Element x y z (fractional)
Ba (0.3479, 0.0979, 0.2500)  7 Au 3.31-3.63
Ba (0.6521, 0.9021, 0.7500)  7 Au 3.31-3.63
Al (0.0000, 0.0000, 0.5000)  6 Au 2.51-2.54
Al (0.0000, 0.5000, 0.0000)  6 Au 2.51-2.54
Sn (0.0000, 0.5000, 0.5000)  6 Au 2.76-2.91
Sn (0.5000, 0.5000, 0.0000)  6 Au 2.76-2.91
Au (0.1206, 0.8706, 0.2500)  2 Al 2.54
Au (0.1369, 0.4480, 0.2732)  1 Al 2.51, 1 Sn 2.76
Au (0.1369, 0.8637, 0.6889)  1 Al 2.51, 1 Sn 2.76
Au (0.3252, 0.1363, 0.7732)  1 Al 2.51, 1 Sn 2.76
Au (0.3252, 0.5520, 0.1889)  1 Al 2.51, 1 Sn 2.76
Au (0.3754, 0.6254, 0.7500)  4 Au 2.87, 2 Sn 2.91
Au (0.6246, 0.3746, 0.2500)  4 Au 2.87, 2 Sn 2.91
Au (0.6748, 0.4480, 0.8111)  1 Al 2.51, 1 Sn 2.76
Au (0.6748, 0.8637, 0.2268)  1 Al 2.51, 1 Sn 2.76
Au (0.8631, 0.1363, 0.3111)  1 Al 2.51, 1 Sn 2.76
Au (0.8631, 0.5520, 0.7268)  1 Al 2.51, 1 Sn 2.76
Au (0.8794, 0.1294, 0.7500)  2 Al 2.54

(10)
BaSr2AlAu | GGA-PBE | optimized geometry

Calculated volume   38.58 Å³ per atom
Energy relative to the elements   -0.236 eV per atom
VASP energy   -13.49 eV/f.u.
Space-group type   P4/mmm, No. 123
Mass density   4618 kg/m³
Spin magnetization   0.00 μB/cell

a b c (Å): 6.1427 6.1427 5.1122
angles (deg): 90.00 90.00 90.00
With the nearest neighbours (Å) after each atom.
Element x y z (fractional)
Ba (0.0000, 0.0000, 0.0000)  8 Sr 4.00, 4 Al 4.34
Sr (0.0000, 0.5000, 0.5000)  2 Au 3.07
Sr (0.5000, 0.0000, 0.5000)  2 Au 3.07
Al (0.5000, 0.5000, 0.0000)  2 Au 2.56
Au (0.5000, 0.5000, 0.5000)  2 Al 2.56

(11)
BaAlZnAu2 | GGA-PBE | optimized geometry

Calculated volume   23.71 Å³ per atom
Distance to the lowest polymorph of the same formula   0 meV/atom
Energy relative to the elements   -0.546 eV per atom
VASP energy   -16.22 eV/f.u.
Space-group type   I-4m2, No. 119
Mass density   8734 kg/m³
Spin magnetization   0.00 μB/cell

a b c (Å): 6.6716 6.6716 6.6716
angles (deg): 140.62 140.62 56.92
With the nearest neighbours (Å) after each atom.
Element x y z (fractional)
Ba (0.0000, 0.0000, 0.0000)  8 Au 3.53, 4 Al 3.70, 4 Zn 3.70
Al (0.7500, 0.2500, 0.5000)  4 Au 2.65
Zn (0.2500, 0.7500, 0.5000)  4 Au 2.65
Au (0.3695, 0.3695, 0.0000)  2 Al 2.65, 2 Zn 2.65
Au (0.6305, 0.6305, 0.0000)  2 Al 2.65, 2 Zn 2.65